## Cu2TeWN (GGA-PBE)

Data for Cu2TeWN after structural relaxation.

a b c (Å): 3.8732 5.1002 3.8732
angles (deg): 90.00 90.00 90.00
Positions (direct):
Te 0.0000 0.5000 0.0000
Cu 0.0000 0.0000 0.5000
Cu 0.5000 0.0000 0.0000
W 0.5000 0.5000 0.5000
N 0.0000 0.0000 0.0000

Results
As for the electronic total energy: -27.39 eV/cell. The calculation puts the volume at 76.51 Å³/cell. For the uncorrected formation energy, the calculation gives 1.0440 eV per atom. The calculation puts the density of states at the Fermi level at 0.72 states/eV/atom.


## CuTeWN2 (GGA-PBE)

Data for CuTeWN2 after structural relaxation.

a b c (Å): 3.8847 3.8847 5.7486
angles (deg): 90.00 90.00 90.00
Positions (direct):
Te 0.0000 0.0000 0.5000
Cu 0.5000 0.5000 0.5000
W 0.0000 0.0000 0.0000
N 0.0000 0.5000 0.0000
N 0.5000 0.0000 0.0000

Results
As for the electronic total energy: -34.64 eV/cell. The calculation puts the volume at 86.75 Å³/cell. The value obtained for the relative energy among the computed polymorphs is 0.000 kcal/mol of atoms. For the uncorrected formation energy, the calculation gives 0.4410 eV per atom. The calculation puts the density of states at the Fermi level at 0.61 states/eV/atom.


## YCuTe2N (GGA-PBE)

Data for YCuTe2N after structural relaxation.

a b c (Å): 6.0552 6.0552 4.0206
angles (deg): 90.00 90.00 90.00
Positions (direct):
Y 0.0000 0.0000 0.0000
Te 0.0000 0.5000 0.0000
Te 0.5000 0.0000 0.0000
Cu 0.5000 0.5000 0.5000
N 0.0000 0.0000 0.5000

Results
As for the electronic total energy: -22.26 eV/cell. The calculation puts the volume at 147.42 Å³/cell. The value obtained for the relative energy among the computed polymorphs is 14.996 kcal/mol of atoms. For the uncorrected formation energy, the calculation gives 0.5820 eV per atom. The calculation puts the density of states at the Fermi level at 1.08 states/eV/atom.


## YCuTe2N (GGA-PBE)

Data for YCuTe2N after structural relaxation.

a b c (Å): 5.4060 5.4060 3.7797
angles (deg): 90.00 90.00 90.00
Positions (direct):
Y 0.5000 0.5000 0.5000
Te 0.0000 0.5000 0.0000
Te 0.5000 0.0000 0.0000
Cu 0.0000 0.0000 0.0000
N 0.0000 0.0000 0.5000

Results
As for the electronic total energy: -24.66 eV/cell. The calculation puts the volume at 110.46 Å³/cell. The value obtained for the relative energy among the computed polymorphs is 3.930 kcal/mol of atoms. For the uncorrected formation energy, the calculation gives 0.1021 eV per atom. The calculation puts the density of states at the Fermi level at 0.55 states/eV/atom.


## YCuTe2N (GGA-PBE)

Data for YCuTe2N after structural relaxation.

a b c (Å): 5.1528 3.8698 5.1528
angles (deg): 90.00 90.00 90.00
Positions (direct):
Y 0.5000 0.5000 0.5000
Te 0.0000 0.0000 0.5000
Te 0.5000 0.0000 0.0000
Cu 0.0000 0.5000 0.0000
N 0.0000 0.0000 0.0000

Results
As for the electronic total energy: -25.51 eV/cell. The calculation puts the volume at 102.75 Å³/cell. The value obtained for the relative energy among the computed polymorphs is 0.000 kcal/mol of atoms. For the uncorrected formation energy, the calculation gives -0.0683 eV per atom. The calculation puts the density of states at the Fermi level at 0.28 states/eV/atom.


## ZnCuTe2N (GGA-PBE)

Data for ZnCuTe2N after structural relaxation.

a b c (Å): 5.4356 5.4356 3.5116
angles (deg): 90.00 90.00 90.00
Positions (direct):
Zn 0.5000 0.5000 0.5000
Te 0.0000 0.5000 0.0000
Te 0.5000 0.0000 0.0000
Cu 0.0000 0.0000 0.0000
N 0.0000 0.0000 0.5000

Results
As for the electronic total energy: -16.27 eV/cell. The calculation puts the volume at 103.75 Å³/cell. The value obtained for the relative energy among the computed polymorphs is 0.000 kcal/mol of atoms. For the uncorrected formation energy, the calculation gives 0.7423 eV per atom. The calculation puts the density of states at the Fermi level at 0.74 states/eV/atom.


Copy entry 5 word for word.
## YCuTe2N (GGA-PBE)

Data for YCuTe2N after structural relaxation.

a b c (Å): 5.1528 3.8698 5.1528
angles (deg): 90.00 90.00 90.00
Positions (direct):
Y 0.5000 0.5000 0.5000
Te 0.0000 0.0000 0.5000
Te 0.5000 0.0000 0.0000
Cu 0.0000 0.5000 0.0000
N 0.0000 0.0000 0.0000

Results
As for the electronic total energy: -25.51 eV/cell. The calculation puts the volume at 102.75 Å³/cell. The value obtained for the relative energy among the computed polymorphs is 0.000 kcal/mol of atoms. For the uncorrected formation energy, the calculation gives -0.0683 eV per atom. The calculation puts the density of states at the Fermi level at 0.28 states/eV/atom.


Which value of uncorrected formation energy does entry 3 give? 0.5820 eV per atom


Among the records above, which one has the lowest electronic total energy? CuTeWN2


electronic total energy of number 2 (CuTeWN2)? -34.64 eV/cell